a | This record from Alexandria via LeMat-Bulk describes a relaxed RbTc3O crystal. The functional is PBE.

It has space group Pm-3m (No. 221), with a = 4.333 Å, b = 4.333 Å, c = 4.333 Å, α = 90.00°, β = 90.00° and γ = 90.00°. The inequivalent atoms are Rb at (0.000, 0.000, 0.000), Tc at (0.000, 0.500, 0.500) and O at (0.500, 0.500, 0.500).

The calculated volume comes out at 81 Å³/cell.

***

b | This record from Alexandria via LeMat-Bulk describes a relaxed RbTc3O crystal. The functional is PBE.

It has space group Pm-3m (No. 221), with a = 4.754 Å, b = 4.754 Å, c = 4.754 Å, α = 90.00°, β = 90.00° and γ = 90.00°. The inequivalent atoms are Rb at (0.000, 0.000, 0.000), Tc at (0.000, 0.000, 0.500) and O at (0.500, 0.500, 0.500).

The calculated volume comes out at 107 Å³/cell.

***

Q: What are the energies relative to the best structure? A: a 0; b 2596, in meV/atom.

***

a | This record from Alexandria via LeMat-Bulk describes a relaxed Rb2TeO4 crystal. The functional is PBE.

It has space group I4/mmm (No. 139), with a = 4.075 Å, b = 4.075 Å, c = 14.307 Å, α = 90.00°, β = 90.00° and γ = 90.00°. The inequivalent atoms are Rb at (0.000, 0.000, 0.157), Te at (0.000, 0.000, 0.500), O at (0.000, 0.000, 0.368) and O at (0.000, 0.500, 0.000).

The calculated volume comes out at 238 Å³/cell.

***

b | This record from Alexandria via LeMat-Bulk describes a relaxed Rb2TeO4 crystal. The functional is PBE.

It has space group Fmm2 (No. 42), with a = 9.510 Å, b = 9.535 Å, c = 9.471 Å, α = 90.00°, β = 90.00° and γ = 90.00°. The inequivalent atoms are Rb at (0.250, 0.250, 0.000), Te at (0.000, 0.000, 0.250), O at (0.000, 0.159, 0.139) and O at (0.160, 0.000, 0.362).

The calculated volume comes out at 859 Å³/cell.

***

Q: What are the energies relative to the best structure? A: a 55; b 0, in meV/atom.

***

a | This record from Alexandria via LeMat-Bulk describes a relaxed Rb4TeO4 crystal. The functional is PBE.

It has space group I-42m (No. 121), with a = 6.942 Å, b = 6.942 Å, c = 12.096 Å, α = 90.00°, β = 90.00° and γ = 90.00°. The inequivalent atoms are Rb at (0.000, 0.000, 0.212), Rb at (0.000, 0.500, 0.000), Te at (0.000, 0.000, 0.500) and O at (0.169, 0.169, 0.599).

The calculated volume comes out at 583 Å³/cell.

***

b | This record from Alexandria via LeMat-Bulk describes a relaxed Rb4TeO4 crystal. The functional is PBE.

It has space group I-42m (No. 121), with a = 6.279 Å, b = 6.279 Å, c = 11.483 Å, α = 90.00°, β = 90.00° and γ = 90.00°. The inequivalent atoms are Rb at (0.188, 0.188, 0.351), Te at (0.000, 0.000, 0.000) and O at (0.189, 0.189, 0.106).

The calculated volume comes out at 453 Å³/cell.

***

Q: What are the energies relative to the best structure? A: a 0; b 48, in meV/atom.

***

a | This record from Alexandria via LeMat-Bulk describes a relaxed Rb4TeO crystal. The functional is PBE.

It has space group C2/m (No. 12), with a = 16.160 Å, b = 8.152 Å, c = 7.203 Å, α = 90.00°, β = 100.94° and γ = 90.00°. The inequivalent atoms are Rb at (0.000, 0.233, 0.000), Rb at (0.107, 0.206, 0.564), Rb at (0.200, 0.000, 0.182), Te at (0.189, 0.500, 0.239) and O at (0.040, 0.000, 0.282).

The calculated volume comes out at 932 Å³/cell.

***

b | This record from Alexandria via LeMat-Bulk describes a relaxed Rb4TeO crystal. The functional is PBE.

It has space group Cmcm (No. 63), with a = 5.849 Å, b = 19.614 Å, c = 8.012 Å, α = 90.00°, β = 90.00° and γ = 90.00°. The inequivalent atoms are Rb at (0.000, 0.000, 0.000), Rb at (0.000, 0.187, 0.006), Rb at (0.000, 0.422, 0.750), Te at (0.000, 0.374, 0.250) and O at (0.000, 0.100, 0.250).

The calculated volume comes out at 919 Å³/cell.

***

Q: What are the energies relative to the best structure? A: a 49; b 0, in meV/atom.

***

a | This record from Alexandria via LeMat-Bulk describes a relaxed Rb4TiO4 crystal. The functional is PBE.

It has space group P-1 (No. 2), with a = 7.051 Å, b = 7.202 Å, c = 9.571 Å, α = 81.76°, β = 73.10° and γ = 61.28°. The inequivalent atoms are Rb at (0.014, 0.228, 0.053), Rb at (0.132, 0.279, 0.639), Rb at (0.247, 0.771, 0.550), Rb at (0.420, 0.721, 0.137), Ti at (0.371, 0.253, 0.250), O at (0.228, 0.089, 0.333), O at (0.231, 0.433, 0.112), O at (0.327, 0.913, 0.834) and O at (0.336, 0.429, 0.389).

The calculated volume comes out at 408 Å³/cell.

***

b | This record from Alexandria via LeMat-Bulk describes a relaxed Rb4TiO4 crystal. The functional is PBE.

It has space group P4_2/nmc (No. 137, origin choice 2), with a = 7.816 Å, b = 7.816 Å, c = 6.332 Å, α = 90.00°, β = 90.00° and γ = 90.00°. The inequivalent atoms are Rb at (0.034, 0.250, 0.130), Ti at (0.250, 0.750, 0.250) and O at (0.058, 0.750, 0.422).

The calculated volume comes out at 387 Å³/cell.

***

Q: What are the energies relative to the best structure? A: a 0; b 38, in meV/atom.

***

a | This record from Alexandria via LeMat-Bulk describes a relaxed RbTl2O crystal. The functional is PBE.

It has space group I-42d (No. 122), with a = 8.503 Å, b = 8.503 Å, c = 6.224 Å, α = 90.00°, β = 90.00° and γ = 90.00°. The inequivalent atoms are Rb at (0.000, 0.000, 0.000), Tl at (0.157, 0.250, 0.625) and O at (0.000, 0.000, 0.500).

The calculated volume comes out at 450 Å³/cell.

***

b | This record from Alexandria via LeMat-Bulk describes a relaxed RbTl2O crystal. The functional is PBE.

It has space group Fm-3m (No. 225), with a = 7.644 Å, b = 7.644 Å, c = 7.644 Å, α = 90.00°, β = 90.00° and γ = 90.00°. The inequivalent atoms are Rb at (0.000, 0.000, 0.000), Tl at (0.250, 0.250, 0.250) and O at (0.000, 0.000, 0.500).

The calculated volume comes out at 447 Å³/cell.

***

c | This record from Alexandria via LeMat-Bulk describes a relaxed RbTl2O crystal. The functional is PBE.

It has space group Cmcm (No. 63), with a = 6.243 Å, b = 6.243 Å, c = 11.868 Å, α = 90.00°, β = 90.00° and γ = 90.00°. The inequivalent atoms are Rb at (0.000, 0.250, 0.250), Tl at (0.000, 0.250, 0.559) and O at (0.000, 0.249, 0.750).

The calculated volume comes out at 463 Å³/cell.

***

Q: What are the energies relative to the best structure? A: a 243; b 751; c 0, in meV/atom.

***

a | This record from Alexandria via LeMat-Bulk describes a relaxed Rb2TlO crystal. The functional is PBE.

It has space group C2 (No. 5), with a = 3.831 Å, b = 6.643 Å, c = 10.726 Å, α = 90.00°, β = 90.17° and γ = 90.00°. The inequivalent atoms are Rb at (0.003, 0.000, 0.150), Tl at (0.000, 0.330, 0.500) and O at (0.000, 0.333, 0.000).

The calculated volume comes out at 273 Å³/cell.

***

b | This record from Alexandria via LeMat-Bulk describes a relaxed Rb2TlO crystal. The functional is PBE.

It has space group P2_1/m (No. 11), with a = 7.678 Å, b = 5.738 Å, c = 7.842 Å, α = 90.00°, β = 111.22° and γ = 90.00°. The inequivalent atoms are Rb at (0.015, 0.250, 0.254), Rb at (0.421, 0.250, 0.854), Tl at (0.393, 0.750, 0.526) and O at (0.341, 0.750, 0.783).

The calculated volume comes out at 322 Å³/cell.

***

Q: What are the energies relative to the best structure? A: a 185; b 0, in meV/atom.

***

a | This record from Alexandria via LeMat-Bulk describes a relaxed Rb2TlO crystal. The functional is PBE.

It has space group R-3m (No. 166, hexagonal axes), with a = 3.9188 Å, b = 3.9188 Å, c = 33.2393 Å, α = 90.00°, β = 90.00° and γ = 120.00°. The inequivalent atoms are Rb at (0.0000, 0.0000, 0.1216), Tl at (0.0000, 0.0000, 0.0000) and O at (0.0000, 0.0000, 0.5000).

The calculated volume comes out at 442 Å³/cell.

***

b | This record from Alexandria via LeMat-Bulk describes a relaxed Rb2TlO crystal. The functional is PBE.

It has space group I-42d (No. 122), with a = 10.748 Å, b = 10.748 Å, c = 5.379 Å, α = 90.00°, β = 90.00° and γ = 90.00°. The inequivalent atoms are Rb at (0.076, 0.750, 0.125), Tl at (0.000, 0.000, 0.500) and O at (0.000, 0.000, 0.000).

The calculated volume comes out at 621 Å³/cell.

***

Q: What are the energies relative to the best structure? A: a 0; b 117, in meV/atom.

***

a | This record from Alexandria via LeMat-Bulk describes a relaxed RbTl2O3 crystal. The functional is PBE.

It has space group P6_3/mmc (No. 194), with a = 3.5946 Å, b = 3.5946 Å, c = 18.7603 Å, α = 90.00°, β = 90.00° and γ = 120.00°. The inequivalent atoms are Rb at (0.0000, 0.0000, 0.2500), Tl at (0.3333, 0.6667, 0.0792), O at (0.0000, 0.0000, 0.0000) and O at (0.3333, 0.6667, 0.6412).

The calculated volume comes out at 210 Å³/cell.

***

b | This record from Alexandria via LeMat-Bulk describes a relaxed RbTl2O3 crystal. The functional is PBE.

It has space group R-3m (No. 166, hexagonal axes), with a = 6.9008 Å, b = 6.9008 Å, c = 20.9531 Å, α = 90.00°, β = 90.00° and γ = 120.00°. The inequivalent atoms are Rb at (0.0000, 0.0000, 0.1596), Tl at (0.0000, 0.0000, 0.0000), Tl at (0.0000, 0.5000, 0.0000) and O at (0.9998, 0.4999, 0.2765).

The calculated volume comes out at 864 Å³/cell.

***

Q: What are the energies relative to the best structure? A: a 0; b 181, in meV/atom.

***

a | This record from Alexandria via LeMat-Bulk describes a relaxed RbTl6O8 crystal. The functional is PBE.

It has space group P-3 (No. 147), with a = 9.7759 Å, b = 9.7759 Å, c = 3.7325 Å, α = 90.00°, β = 90.00° and γ = 120.00°. The inequivalent atoms are Rb at (0.0000, 0.0000, 0.0000), Tl at (0.1610, 0.4135, 0.2565), O at (0.0186, 0.3061, 0.7587) and O at (0.3333, 0.6667, 0.3637).

The calculated volume comes out at 309 Å³/cell.

***

b | This record from Alexandria via LeMat-Bulk describes a relaxed RbTl6O8 crystal. The functional is PBE.

It has space group Fm-3m (No. 225), with a = 11.103 Å, b = 11.103 Å, c = 11.103 Å, α = 90.00°, β = 90.00° and γ = 90.00°. The inequivalent atoms are Rb at (0.000, 0.000, 0.000), Tl at (0.000, 0.250, 0.250) and O at (0.148, 0.148, 0.148).

The calculated volume comes out at 1369 Å³/cell.

***

Q: What are the energies relative to the best structure? A: a 0; b 219, in meV/atom.